Record 1
{"formula": "NaCaDyMnO6", "functional": "PBE+U", "state": "optimized geometry", "lattice_angstrom": [[-3.443, -3.947, -2.410], [-5.125, -1.184, 2.362], [-4.847, 1.639, -2.657]], "species": ["Na", "Ca", "Dy", "Mn", "O", "O", "O", "O", "O", "O"], "frac_coords": [[0.250, 0.250, 0.250], [0.750, 0.750, 0.750], [0.000, 0.000, 0.000], [0.500, 0.500, 0.500], [0.269, 0.731, 0.269], [0.731, 0.269, 0.731], [0.269, 0.731, 0.731], [0.731, 0.269, 0.269], [0.269, 0.269, 0.731], [0.731, 0.731, 0.269]], "spacegroup": "F-43m, No. 216", "e_tot_ev_per_fu": -64.4}

Record 2
{"formula": "Ca2DyMnO6", "functional": "PBE+U", "state": "optimized geometry", "lattice_angstrom": [[2.047, -2.599, 4.688], [-3.607, -2.469, 3.718], [-0.206, -5.718, 0.431]], "species": ["Ca", "Ca", "Dy", "Mn", "O", "O", "O", "O", "O", "O"], "frac_coords": [[0.250, 0.250, 0.250], [0.750, 0.750, 0.750], [0.000, 0.000, 0.000], [0.500, 0.500, 0.500], [0.268, 0.732, 0.268], [0.732, 0.268, 0.732], [0.732, 0.732, 0.268], [0.268, 0.268, 0.732], [0.268, 0.732, 0.732], [0.732, 0.268, 0.268]], "spacegroup": "Fm-3m, No. 225", "e_tot_ev_per_fu": -69.0}

Record 3
{"formula": "CaDyMnSnO6", "functional": "PBE+U", "state": "optimized geometry", "lattice_angstrom": [[5.518, -0.026, -0.025], [-0.201, 5.511, -0.017], [-0.734, -0.216, 8.738]], "species": ["Ca", "Ca", "Dy", "Dy", "Mn", "Mn", "Sn", "Sn", "O", "O", "O", "O", "O", "O", "O", "O", "O", "O", "O", "O"], "frac_coords": [[0.000, 0.500, 0.000], [0.500, 0.000, 0.500], [0.025, 0.054, 0.722], [0.975, 0.946, 0.278], [0.500, 0.000, 0.000], [0.000, 0.500, 0.500], [0.488, 0.545, 0.780], [0.512, 0.455, 0.220], [0.753, 0.210, 0.116], [0.718, 0.649, 0.390], [0.247, 0.790, 0.884], [0.282, 0.351, 0.610], [0.671, 0.718, 0.075], [0.861, 0.185, 0.465], [0.329, 0.282, 0.925], [0.139, 0.815, 0.535], [0.659, 0.870, 0.741], [0.806, 0.380, 0.770], [0.341, 0.130, 0.259], [0.194, 0.620, 0.230]], "spacegroup": "P-1, No. 2", "e_tot_ev_per_fu": -71.2}

Record 4
{"formula": "CaDyMnSnO6", "functional": "PBE+U", "state": "optimized geometry", "lattice_angstrom": [[0.000, 4.056, 4.056], [4.056, 0.000, 4.056], [4.056, 4.056, 0.000]], "species": ["Ca", "Dy", "Mn", "Sn", "O", "O", "O", "O", "O", "O"], "frac_coords": [[0.250, 0.250, 0.250], [0.000, 0.000, 0.000], [0.500, 0.500, 0.500], [0.750, 0.750, 0.750], [0.268, 0.732, 0.268], [0.732, 0.268, 0.732], [0.268, 0.732, 0.732], [0.732, 0.268, 0.268], [0.268, 0.268, 0.732], [0.732, 0.732, 0.268]], "spacegroup": "F-43m, No. 216", "e_tot_ev_per_fu": -67.1}

Record 5
{"formula": "CaDyMnSnO6", "functional": "PBE+U", "state": "optimized geometry", "lattice_angstrom": [[-2.524, 4.664, 2.427], [-4.343, -0.657, -3.254], [-7.572, -5.189, 2.098]], "species": ["Ca", "Ca", "Dy", "Dy", "Mn", "Mn", "Sn", "Sn", "O", "O", "O", "O", "O", "O", "O", "O", "O", "O", "O", "O"], "frac_coords": [[0.191, 0.765, 0.748], [0.809, 0.765, 0.248], [0.673, 0.225, 0.753], [0.327, 0.225, 0.253], [0.246, 0.497, 0.500], [0.754, 0.497, 0.000], [0.760, 0.999, 0.500], [0.240, 0.999, 0.000], [0.210, 0.618, 0.258], [0.930, 0.863, 0.946], [0.928, 0.247, 0.564], [0.447, 0.155, 0.551], [0.444, 0.769, 0.940], [0.707, 0.363, 0.241], [0.790, 0.618, 0.758], [0.072, 0.247, 0.064], [0.070, 0.863, 0.446], [0.556, 0.769, 0.440], [0.553, 0.155, 0.051], [0.293, 0.363, 0.741]], "spacegroup": "Pc, No. 7", "e_tot_ev_per_fu": -71.8}

Record 6
{"formula": "CaDyMnSnO6", "functional": "PBE+U", "state": "optimized geometry", "lattice_angstrom": [[0.000, 4.000, 4.000], [4.000, 0.000, 4.000], [4.000, 4.000, 0.000]], "species": ["Ca", "Dy", "Mn", "Sn", "O", "O", "O", "O", "O", "O"], "frac_coords": [[0.000, 0.000, 0.000], [0.750, 0.750, 0.750], [0.500, 0.500, 0.500], [0.250, 0.250, 0.250], [0.268, 0.732, 0.268], [0.732, 0.268, 0.732], [0.268, 0.732, 0.732], [0.732, 0.268, 0.268], [0.268, 0.268, 0.732], [0.732, 0.732, 0.268]], "spacegroup": "F-43m, No. 216", "e_tot_ev_per_fu": -65.5}